# LiNdGePt

Crystalline LiNdGePt at its relaxed geometry (PBE, the Alexandria database).

Values from the calculation:
For the formation enthalpy at 0 K, the calculation gives -17.479 kcal/mol of atoms. Its uncorrected energy is -5.093 eV/atom. The spin magnetization is 0.0 μB per cell.

a = 6.6892 Å, b = 6.6892 Å, c = 6.6892 Å
α = 90.00°, β = 90.00°, γ = 90.00°
Last column: nearest neighbours and their distance in Å.
Fractional coordinates of all 16 atoms:
Li: 0.0000 0.0000 0.0000  4 Ge 2.90, 4 Nd 2.90
Li: 0.0000 0.5000 0.5000  4 Ge 2.90, 4 Nd 2.90
Li: 0.5000 0.0000 0.5000  4 Ge 2.90, 4 Nd 2.90
Li: 0.5000 0.5000 0.0000  4 Ge 2.90, 4 Nd 2.90
Nd: 0.2500 0.2500 0.7500  4 Li 2.90, 4 Pt 2.90
Nd: 0.2500 0.7500 0.2500  4 Li 2.90, 4 Pt 2.90
Nd: 0.7500 0.2500 0.2500  4 Li 2.90, 4 Pt 2.90
Nd: 0.7500 0.7500 0.7500  4 Li 2.90, 4 Pt 2.90
Ge: 0.2500 0.2500 0.2500  4 Li 2.90, 4 Pt 2.90
Ge: 0.2500 0.7500 0.7500  4 Li 2.90, 4 Pt 2.90
Ge: 0.7500 0.2500 0.7500  4 Li 2.90, 4 Pt 2.90
Ge: 0.7500 0.7500 0.2500  4 Li 2.90, 4 Pt 2.90
Pt: 0.0000 0.0000 0.5000  4 Nd 2.90, 4 Ge 2.90
Pt: 0.0000 0.5000 0.0000  4 Nd 2.90, 4 Ge 2.90
Pt: 0.5000 0.0000 0.0000  4 Nd 2.90, 4 Ge 2.90
Pt: 0.5000 0.5000 0.5000  4 Nd 2.90, 4 Ge 2.90

***

# InPdPt3

Crystalline InPdPt3 at its relaxed geometry (PBE, the Alexandria database).

Values from the calculation:
For the formation enthalpy at 0 K, the calculation gives -5.058 kcal/mol of atoms. The energy above the lowest structure with this stoichiometry is 0.096 eV per atom. Its uncorrected energy is -5.430 eV/atom. The spin magnetization is 0.0 μB per cell.

a = 4.1275 Å, b = 5.5758 Å, c = 7.5976 Å
α = 90.00°, β = 105.62°, γ = 90.00°
Last column: nearest neighbours and their distance in Å.
Fractional coordinates of all 10 atoms:
In: 0.2009 0.2500 0.3996  8 Pt 2.73-2.91, 1 Pd 2.80
In: 0.7991 0.7500 0.6004  8 Pt 2.73-2.91, 1 Pd 2.80
Pd: 0.0076 0.2500 0.0171  9 Pt 2.72-2.94, 1 In 2.80, 2 Pd 2.80
Pd: 0.9924 0.7500 0.9829  9 Pt 2.72-2.94, 1 In 2.80, 2 Pd 2.80
Pt: 0.1756 0.7500 0.3548  1 Pd 2.72, 4 In 2.73-2.81, 4 Pt 2.74-2.75
Pt: 0.4029 0.0010 0.8038  5 Pt 2.74-2.87, 4 Pd 2.81-2.94, 2 In 2.89-2.91
Pt: 0.4029 0.4990 0.8038  5 Pt 2.74-2.87, 4 Pd 2.81-2.94, 2 In 2.89-2.91
Pt: 0.5971 0.5010 0.1962  5 Pt 2.74-2.87, 4 Pd 2.81-2.94, 2 In 2.89-2.91
Pt: 0.5971 0.9990 0.1962  5 Pt 2.74-2.87, 4 Pd 2.81-2.94, 2 In 2.89-2.91
Pt: 0.8244 0.2500 0.6452  1 Pd 2.72, 4 In 2.73-2.81, 4 Pt 2.74-2.75

***

# Ag5PdAu2

Crystalline Ag5PdAu2 at its relaxed geometry (PBE, the Alexandria database).

Values from the calculation:
For the formation enthalpy at 0 K, the calculation gives -1.003 kcal/mol of atoms. Its uncorrected energy is -3.294 eV/atom. The spin magnetization is 0.0 μB per cell.

a = 5.7759 Å, b = 11.5449 Å, c = 4.2025 Å
α = 90.00°, β = 90.00°, γ = 90.00°
Last column: nearest neighbours and their distance in Å.
Fractional coordinates of all 16 atoms:
Ag: 0.0000 0.0000 0.0000  2 Pd 2.89, 6 Ag 2.90-2.92, 4 Au 2.93
Ag: 0.0031 0.2510 0.0000  1 Pd 2.87, 7 Ag 2.89-2.94, 4 Au 2.93-2.95
Ag: 0.2491 0.8756 0.5000  4 Au 2.86-2.91, 6 Ag 2.92-2.94, 2 Pd 2.93
Ag: 0.2509 0.3756 0.5000  4 Au 2.86-2.91, 6 Ag 2.92-2.94, 2 Pd 2.93
Ag: 0.4969 0.7510 0.0000  1 Pd 2.87, 7 Ag 2.89-2.94, 4 Au 2.93-2.95
Ag: 0.5000 0.5000 0.0000  2 Pd 2.89, 6 Ag 2.90-2.92, 4 Au 2.93
Ag: 0.5031 0.2490 0.0000  1 Pd 2.87, 7 Ag 2.89-2.94, 4 Au 2.93-2.95
Ag: 0.7491 0.6244 0.5000  4 Au 2.86-2.91, 6 Ag 2.92-2.94, 2 Pd 2.93
Ag: 0.7509 0.1244 0.5000  4 Au 2.86-2.91, 6 Ag 2.92-2.94, 2 Pd 2.93
Ag: 0.9969 0.7490 0.0000  1 Pd 2.87, 7 Ag 2.89-2.94, 4 Au 2.93-2.95
Pd: 0.0000 0.5000 0.0000  8 Ag 2.87-2.93, 4 Au 2.91
Pd: 0.5000 0.0000 0.0000  8 Ag 2.87-2.93, 4 Au 2.91
Au: 0.2449 0.6232 0.5000  10 Ag 2.86-2.95, 2 Pd 2.91
Au: 0.2551 0.1232 0.5000  10 Ag 2.86-2.95, 2 Pd 2.91
Au: 0.7449 0.8768 0.5000  10 Ag 2.86-2.95, 2 Pd 2.91
Au: 0.7551 0.3768 0.5000  10 Ag 2.86-2.95, 2 Pd 2.91

***

# TeIr2Cl

Crystalline TeIr2Cl at its relaxed geometry (PBE, the Alexandria database).

Values from the calculation:
The uncorrected formation energy is 833 meV per atom. The energy above the lowest structure with this stoichiometry is 0.732 eV per atom. Its uncorrected energy is -4.845 eV/atom. The spin magnetization is 0.0 μB per cell.

a = 2.9911 Å, b = 5.4066 Å, c = 8.8293 Å
α = 90.00°, β = 90.00°, γ = 90.00°
Last column: nearest neighbours and their distance in Å.
Fractional coordinates of all 8 atoms:
Te: 0.0000 0.0000 0.0000  4 Ir 2.73, 2 Te 2.99
Te: 0.5000 0.5000 0.0000  4 Ir 2.73, 2 Te 2.99
Ir: 0.0000 0.5000 0.2583  2 Cl 2.61, 2 Te 2.73
Ir: 0.0000 0.5000 0.7417  2 Cl 2.61, 2 Te 2.73
Ir: 0.5000 0.0000 0.2583  2 Cl 2.61, 2 Te 2.73
Ir: 0.5000 0.0000 0.7417  2 Cl 2.61, 2 Te 2.73
Cl: 0.0000 0.0000 0.5000  4 Ir 2.61
Cl: 0.5000 0.5000 0.5000  4 Ir 2.61

***

# V6PdRh5

Crystalline V6PdRh5 at its relaxed geometry (PBE, the Alexandria database).

Values from the calculation:
For the formation enthalpy at 0 K, the calculation gives -7.864 kcal/mol of atoms. Its uncorrected energy is -8.396 eV/atom. The spin magnetization is 0.0 μB per cell.

a = 4.5965 Å, b = 5.4592 Å, c = 6.6075 Å
α = 90.00°, β = 92.42°, γ = 90.00°
Last column: nearest neighbours and their distance in Å.
Fractional coordinates of all 12 atoms:
V: 0.0000 0.2451 0.0000  6 Rh 2.65-2.66, 4 V 2.68-2.79, 2 Pd 2.69
V: 0.0000 0.7549 0.0000  6 Rh 2.65-2.66, 4 V 2.68-2.79, 2 Pd 2.69
V: 0.3378 0.2485 0.6590  4 V 2.63-2.79, 7 Rh 2.65-2.71, 1 Pd 2.72
V: 0.3378 0.7515 0.6590  4 V 2.63-2.79, 7 Rh 2.65-2.71, 1 Pd 2.72
V: 0.6622 0.2485 0.3410  4 V 2.63-2.79, 7 Rh 2.65-2.71, 1 Pd 2.72
V: 0.6622 0.7515 0.3410  4 V 2.63-2.79, 7 Rh 2.65-2.71, 1 Pd 2.72
Pd: 0.5000 0.5000 0.0000  8 V 2.69-2.72, 4 Rh 2.73
Rh: 0.1590 0.5000 0.3289  8 V 2.66-2.69, 3 Rh 2.73-2.74, 1 Pd 2.73
Rh: 0.1624 0.0000 0.3315  8 V 2.65-2.67, 4 Rh 2.73-2.74
Rh: 0.5000 0.0000 0.0000  8 V 2.66-2.71, 2 Pd 2.73, 2 Rh 2.74
Rh: 0.8376 0.0000 0.6685  8 V 2.65-2.67, 4 Rh 2.73-2.74
Rh: 0.8410 0.5000 0.6711  8 V 2.66-2.69, 3 Rh 2.73-2.74, 1 Pd 2.73

***

# NbAl2SbW

Crystalline NbAl2SbW at its relaxed geometry (PBE, the Alexandria database).

Values from the calculation:
The uncorrected formation energy is 1248 meV per atom. Its uncorrected energy is -5.678 eV/atom. The spin magnetization is 0.5 μB per cell.

a = 5.0531 Å, b = 5.0531 Å, c = 4.7672 Å
α = 90.00°, β = 90.00°, γ = 90.00°
Last column: nearest neighbours and their distance in Å.
Fractional coordinates of all 5 atoms:
Nb: 0.0000 0.0000 0.0000  2 W 2.38, 4 Al 2.53
Al: 0.0000 0.5000 0.0000  2 Nb 2.53
Al: 0.5000 0.0000 0.0000  2 Nb 2.53
Sb: 0.5000 0.5000 0.5000  8 Al 3.47, 4 W 3.57
W: 0.0000 0.0000 0.5000  2 Nb 2.38

***

# KPr4Bi3O12

Crystalline KPr4Bi3O12 at its relaxed geometry (PBE, the Alexandria database).

Values from the calculation:
The uncorrected formation energy is -2080 meV per atom. Its uncorrected energy is -6.647 eV/atom. The spin magnetization is 2.0 μB per cell.

a = 7.7179 Å, b = 7.7179 Å, c = 7.7179 Å
α = 109.47°, β = 109.47°, γ = 109.47°
Last column: nearest neighbours and their distance in Å.
Fractional coordinates of all 20 atoms:
K: 0.0000 0.0000 0.0000  12 O 3.26
Pr: 0.0000 0.0000 0.5000  6 O 2.40
Pr: 0.0000 0.5000 0.0000  6 O 2.40
Pr: 0.5000 0.0000 0.0000  6 O 2.40
Pr: 0.5000 0.5000 0.5000  6 O 2.40
Bi: 0.0000 0.5000 0.5000  4 O 2.25
Bi: 0.5000 0.0000 0.5000  4 O 2.25
Bi: 0.5000 0.5000 0.0000  4 O 2.25
O: 0.1424 0.3195 0.8229  1 Bi 2.25, 2 Pr 2.40
O: 0.1771 0.4966 0.3195  1 Bi 2.25, 2 Pr 2.40
O: 0.1771 0.8576 0.6805  1 Bi 2.25, 2 Pr 2.40
O: 0.3195 0.1771 0.4966  1 Bi 2.25, 2 Pr 2.40
O: 0.3195 0.8229 0.1424  1 Bi 2.25, 2 Pr 2.40
O: 0.4966 0.3195 0.1771  1 Bi 2.25, 2 Pr 2.40
O: 0.5034 0.6805 0.8229  1 Bi 2.25, 2 Pr 2.40
O: 0.6805 0.1771 0.8576  1 Bi 2.25, 2 Pr 2.40
O: 0.6805 0.8229 0.5034  1 Bi 2.25, 2 Pr 2.40
O: 0.8229 0.1424 0.3195  1 Bi 2.25, 2 Pr 2.40
O: 0.8229 0.5034 0.6805  1 Bi 2.25, 2 Pr 2.40
O: 0.8576 0.6805 0.1771  1 Bi 2.25, 2 Pr 2.40

***

# PaAlFeRh

Crystalline PaAlFeRh at its relaxed geometry (PBE, the Alexandria database).

Values from the calculation:
For the formation enthalpy at 0 K, the calculation gives -10.021 kcal/mol of atoms. Its uncorrected energy is -7.698 eV/atom. The spin magnetization is 4.4 μB per cell.

a = 6.4667 Å, b = 6.4667 Å, c = 6.4667 Å
α = 90.00°, β = 90.00°, γ = 90.00°
Last column: nearest neighbours and their distance in Å.
Fractional coordinates of all 16 atoms:
Pa: 0.0000 0.0000 0.0000  4 Rh 2.80, 4 Fe 2.80
Pa: 0.0000 0.5000 0.5000  4 Rh 2.80, 4 Fe 2.80
Pa: 0.5000 0.0000 0.5000  4 Rh 2.80, 4 Fe 2.80
Pa: 0.5000 0.5000 0.0000  4 Rh 2.80, 4 Fe 2.80
Al: 0.0000 0.0000 0.5000  4 Fe 2.80, 4 Rh 2.80
Al: 0.0000 0.5000 0.0000  4 Fe 2.80, 4 Rh 2.80
Al: 0.5000 0.0000 0.0000  4 Fe 2.80, 4 Rh 2.80
Al: 0.5000 0.5000 0.5000  4 Fe 2.80, 4 Rh 2.80
Fe: 0.2500 0.2500 0.7500  4 Pa 2.80, 4 Al 2.80
Fe: 0.2500 0.7500 0.2500  4 Pa 2.80, 4 Al 2.80
Fe: 0.7500 0.2500 0.2500  4 Pa 2.80, 4 Al 2.80
Fe: 0.7500 0.7500 0.7500  4 Al 2.80, 4 Pa 2.80
Rh: 0.2500 0.2500 0.2500  4 Pa 2.80, 4 Al 2.80
Rh: 0.2500 0.7500 0.7500  4 Pa 2.80, 4 Al 2.80
Rh: 0.7500 0.2500 0.7500  4 Pa 2.80, 4 Al 2.80
Rh: 0.7500 0.7500 0.2500  4 Pa 2.80, 4 Al 2.80

***

# Tb4SmY2Sc

Crystalline Tb4SmY2Sc at its relaxed geometry (PBE, the Alexandria database).

Values from the calculation:
For the formation enthalpy at 0 K, the calculation gives 0.747 kcal/mol of atoms. Its uncorrected energy is -5.280 eV/atom. The spin magnetization is 0.0 μB per cell.

a = 4.9978 Å, b = 4.9978 Å, c = 9.9992 Å
α = 90.00°, β = 90.00°, γ = 90.00°
Last column: nearest neighbours and their distance in Å.
Fractional coordinates of all 8 atoms:
Tb: 0.0000 0.5000 0.2440  2 Sc 3.49, 4 Y 3.49-3.58, 4 Tb 3.53, 2 Sm 3.58
Tb: 0.0000 0.5000 0.7560  2 Sc 3.49, 4 Y 3.49-3.58, 4 Tb 3.53, 2 Sm 3.58
Tb: 0.5000 0.0000 0.2440  2 Sc 3.49, 4 Y 3.49-3.58, 4 Tb 3.53, 2 Sm 3.58
Tb: 0.5000 0.0000 0.7560  2 Sc 3.49, 4 Y 3.49-3.58, 4 Tb 3.53, 2 Sm 3.58
Sm: 0.0000 0.0000 0.5000  4 Y 3.53, 8 Tb 3.58
Y: 0.0000 0.0000 0.0000  8 Tb 3.49, 4 Sc 3.53
Y: 0.5000 0.5000 0.5000  4 Sm 3.53, 8 Tb 3.58
Sc: 0.5000 0.5000 0.0000  8 Tb 3.49, 4 Y 3.53

***

# Er4Te2N

Crystalline Er4Te2N at its relaxed geometry (PBE, the Alexandria database).

Values from the calculation:
The uncorrected formation energy is -1012 meV per atom. Its uncorrected energy is -5.706 eV/atom. The spin magnetization is 0.0 μB per cell.

a = 4.5696 Å, b = 4.5696 Å, c = 15.8001 Å
α = 90.00°, β = 90.00°, γ = 90.00°
Last column: nearest neighbours and their distance in Å.
Fractional coordinates of all 14 atoms:
Er: 0.0000 0.0000 0.1626  1 N 2.57
Er: 0.0000 0.0000 0.8374  1 N 2.57
Er: 0.0000 0.5000 0.0000  2 N 2.28
Er: 0.0000 0.5000 0.5000  2 N 2.28
Er: 0.5000 0.0000 0.0000  2 N 2.28
Er: 0.5000 0.0000 0.5000  2 N 2.28
Er: 0.5000 0.5000 0.3374  1 N 2.57
Er: 0.5000 0.5000 0.6626  1 N 2.57
Te: 0.0000 0.0000 0.3575  9 Er 3.08-3.25
Te: 0.0000 0.0000 0.6425  9 Er 3.08-3.25
Te: 0.5000 0.5000 0.1425  9 Er 3.08-3.25
Te: 0.5000 0.5000 0.8575  9 Er 3.08-3.25
N: 0.0000 0.0000 0.0000  4 Er 2.28
N: 0.5000 0.5000 0.5000  4 Er 2.28